[1]
The following is a PBE calculation of a relaxed VCr2GeN crystal, from Alexandria.

a = 3.842 Å, b = 3.842 Å, c = 3.895 Å
α = 90.00°, β = 90.00°, γ = 90.00°
Atoms (fractional coordinates):
Ge (0.500, 0.500, 0.500)
V (0.000, 0.000, 0.500)
Cr (0.500, 0.000, 0.000)
Cr (0.000, 0.500, 0.000)
N (0.000, 0.000, 0.000)

---

[2]
The following is a PBE calculation of a relaxed CrGeWN2 crystal, from Alexandria.

a = 3.692 Å, b = 5.194 Å, c = 3.692 Å
α = 90.00°, β = 90.00°, γ = 90.00°
Atoms (fractional coordinates):
N (0.500, 0.000, 0.000)
N (0.000, 0.000, 0.500)
Cr (0.500, 0.500, 0.500)
Ge (0.000, 0.000, 0.000)
W (0.000, 0.500, 0.000)

---

[3]
The following is a PBE calculation of a relaxed Y2CrGeN crystal, from Alexandria.

a = 4.865 Å, b = 4.865 Å, c = 3.781 Å
α = 90.00°, β = 90.00°, γ = 90.00°
Atoms (fractional coordinates):
N (0.000, 0.000, 0.000)
Ge (0.500, 0.500, 0.500)
Y (0.000, 0.500, 0.000)
Y (0.500, 0.000, 0.000)
Cr (0.000, 0.000, 0.500)

---

no.,calculated total energy (eV for the cell shown),D(E_F) (states/eV/cell)
1,-43.1,4.64
2,-33.2,7.98
3,-39.3,2.88